Below is a relaxed LiMn3O6 crystal, with properties calculated at the GGA+U level.

abc: 5.1433 5.1433 10.7717
angles: 75.74 75.74 59.10
Last column: nearest neighbours and their distance in Å.
Element x y z (fractional)
Li: 0.3113 0.3589 0.2426  4 O 2.08-2.18
Li: 0.3589 0.3113 0.7426  4 O 2.08-2.18
Mn: 0.0906 0.4164 0.0032  6 O 1.92-1.99
Mn: 0.4164 0.0906 0.5032  6 O 1.92-1.99
Mn: 0.7553 0.0852 0.9986  6 O 1.92-2.01
Mn: 0.7521 0.4269 0.4967  4 O 1.96-1.99
Mn: 0.0852 0.7553 0.4986  6 O 1.92-2.01
Mn: 0.4269 0.7521 0.9967  4 O 1.96-1.99
O: 0.3934 0.0883 0.1044  2 Mn 1.92, 1 Li 2.11
O: 0.3819 0.7198 0.5933  3 Mn 1.95-1.99
O: 0.1261 0.1242 0.4054  3 Mn 1.95-2.01, 1 Li 2.18
O: 0.1242 0.1261 0.9054  3 Mn 1.95-2.01, 1 Li 2.18
O: 0.0643 0.7128 0.0943  3 Mn 1.94-1.99, 1 Li 2.16
O: 0.4529 0.4130 0.8960  2 Mn 1.93, 1 Li 2.08
O: 0.0883 0.3934 0.6044  2 Mn 1.92, 1 Li 2.11
O: 0.4130 0.4529 0.3960  2 Mn 1.93, 1 Li 2.08
O: 0.7839 0.7940 0.4076  3 Mn 1.93-1.96
O: 0.7940 0.7839 0.9076  3 Mn 1.93-1.96
O: 0.7198 0.3819 0.0933  3 Mn 1.95-1.99
O: 0.7128 0.0643 0.5943  3 Mn 1.94-1.99, 1 Li 2.16

- Density: 3.79 Mg/m³
- Energy: -138.65 eV per cell
- Magnetic moment: 20.0 Bohr magnetons per cell
- Space-group type: Cc
- Crystal system: monoclinic